This record from Alexandria via LeMat-Bulk describes Dy2ZnRu after structural relaxation. The functional is PBEsol.

Calculated values
Total moment: 0.00 μB/f.u.
Total energy: -0.2117 Ha/atom
Formation energy from the elements: -1.3 eV/f.u.

Cell: 4.8220 4.8220 4.8220 Å, 60.00 60.00 60.00°
Closest atoms and distances in Å follow each position.
Element x y z (fractional)
Dy: 0.7500 0.7500 0.7500  4 Ru 2.95, 4 Zn 2.95
Zn: 0.5000 0.5000 0.5000  8 Dy 2.95
Ru: 0.0000 0.0000 0.0000  8 Dy 2.95
Dy: 0.2500 0.2500 0.2500  4 Zn 2.95, 4 Ru 2.95

This record from Alexandria via LeMat-Bulk describes DyS after structural relaxation. The functional is PBEsol.

Calculated values
Total moment: 0.00 μB/f.u.
Total energy: -0.2497 Ha/atom
Energy relative to the elements, uncorrected: -2114 meV/atom

Cell: 3.8485 3.8485 3.8485 Å, 60.00 60.00 60.00°
Closest atoms and distances in Å follow each position.
Element x y z (fractional)
S: 0.5000 0.5000 0.5000  6 Dy 2.72
Dy: 0.0000 0.0000 0.0000  6 S 2.72

This record from Alexandria via LeMat-Bulk describes Dy3S4 after structural relaxation. The functional is PBEsol.

Calculated values
Total moment: 0.00 μB/f.u.
Total energy: -0.2475 Ha/atom
Energy relative to the elements, uncorrected: -2096 meV/atom

Cell: 7.0686 7.0686 7.0686 Å, 109.47 109.47 109.47°
Closest atoms and distances in Å follow each position.
Element x y z (fractional)
S: 0.6476 0.0000 0.0000  6 Dy 2.74-2.91
S: 0.0000 0.5000 0.1476  6 Dy 2.74-2.91
Dy: 0.6250 0.3750 0.2500  8 S 2.74-2.91
S: 0.5000 0.6476 0.5000  6 Dy 2.74-2.91
Dy: 0.7500 0.6250 0.8750  8 S 2.74-2.91
S: 0.3524 0.3524 0.8524  6 Dy 2.74-2.91
S: 0.1476 0.0000 0.0000  6 Dy 2.74-2.91
S: 0.8524 0.8524 0.3524  6 Dy 2.74-2.91
S: 0.0000 0.5000 0.6476  6 Dy 2.74-2.91
Dy: 0.2500 0.8750 0.6250  8 S 2.74-2.91
Dy: 0.3750 0.7500 0.1250  8 S 2.74-2.91
Dy: 0.1250 0.2500 0.3750  8 S 2.74-2.91
S: 0.5000 0.1476 0.5000  6 Dy 2.74-2.91
Dy: 0.8750 0.1250 0.7500  8 S 2.74-2.91

This record from Alexandria via LeMat-Bulk describes DyS2 after structural relaxation. The functional is PBEsol.

Calculated values
Total moment: 0.00 μB/f.u.
Total energy: -0.2340 Ha/atom
Energy relative to the elements, uncorrected: -1784 meV/atom

Cell: 3.8005 3.8005 7.8315 Å, 90.00 90.00 90.00°
Closest atoms and distances in Å follow each position.
Element x y z (fractional)
S: 0.0000 0.5000 0.3679  5 Dy 2.79-2.81
Dy: 0.0000 0.5000 0.7272  9 S 2.79-2.86
S: 0.5000 0.0000 0.6321  5 Dy 2.79-2.81
S: 0.5000 0.5000 0.0000  4 S 2.69, 4 Dy 2.86
S: 0.0000 0.0000 0.0000  4 S 2.69, 4 Dy 2.86
Dy: 0.5000 0.0000 0.2728  9 S 2.79-2.86

This record from Alexandria via LeMat-Bulk describes Dy12Si5S28 after structural relaxation. The functional is PBEsol.

Calculated values
Total moment: 0.00 μB/f.u.
Total energy: -0.2335 Ha/atom
Energy relative to the elements, uncorrected: -1660 meV/atom

Cell: 9.6481 11.2665 11.1630 Å, 120.23 115.58 90.01°
Closest atoms and distances in Å follow each position.
Element x y z (fractional)
S: 0.5770 0.5503 0.0945  1 Si 2.13
S: 0.5100 0.7059 0.3991  1 Si 2.14
Dy: 0.7674 0.7016 0.6324  8 S 2.73-2.94
Dy: 0.1400 0.5022 0.7765  7 S 2.73-2.84
S: 0.3267 0.3410 0.6528  1 Si 2.11
S: 0.5275 0.2228 0.4343  1 Si 2.14
S: 0.6651 0.9322 0.3284  1 Si 2.10
S: 0.4749 0.0377 0.5753  1 Si 2.13
Si: 0.6660 0.2520 0.3397  4 S 2.10-2.15
Dy: 0.6548 0.0651 0.8741  7 S 2.65-2.96
Dy: 0.8686 0.4679 0.2178  7 S 2.67-2.94
Dy: 0.7784 0.1810 0.6477  7 S 2.65-2.91
Dy: 0.2226 0.3053 0.3483  6 S 2.64-2.94
S: 0.5857 0.0618 0.1063  1 Si 2.15
Si: 0.9987 0.7728 0.0003  6 S 2.30-2.38
Si: 0.6660 0.7434 0.3244  4 S 2.10-2.14
S: 0.7426 0.3341 0.9010  3 Dy 2.65-2.74
S: 0.2277 0.7046 0.0910  1 Si 2.31
Dy: 0.3648 0.9508 0.1363  8 S 2.69-2.97
Dy: 0.6337 0.5430 0.8597  7 S 2.73-2.86
S: 0.1000 0.0123 0.5190  1 Si 2.14
Si: 0.3337 0.6635 0.6696  4 S 2.10-2.14
S: 0.4206 0.2019 0.8968  1 Si 2.13
S: 0.4823 0.5484 0.5843  1 Si 2.14
S: 0.9062 0.2146 0.1679  4 Dy 2.65-2.91
Dy: 0.8703 0.0029 0.2368  8 S 2.70-2.91
S: 0.0881 0.8063 0.8484  1 Si 2.38
Dy: 0.1280 0.0171 0.7797  6 S 2.65-2.93
S: 0.1514 0.0016 0.2395  1 Si 2.37
Si: 0.3331 0.1598 0.6644  4 S 2.11-2.14
S: 0.9003 0.7391 0.4649  1 Si 2.14
Dy: 0.2238 0.7943 0.3665  7 S 2.72-2.87
S: 0.8326 0.9940 0.7326  4 Dy 2.65-2.86
S: 0.1020 0.5172 0.5265  1 Si 2.13
S: 0.4219 0.7035 0.9022  1 Si 2.14
S: 0.3396 0.8559 0.6813  1 Si 2.10
S: 0.2642 0.1789 0.0979  4 Dy 2.64-2.91
S: 0.9086 0.7291 0.1401  1 Si 2.32
S: 0.6684 0.4365 0.3367  1 Si 2.10
S: 0.8954 0.2528 0.4940  1 Si 2.13
S: 0.8605 0.5469 0.7715  1 Si 2.30
S: 0.1614 0.5126 0.2581  4 Dy 2.67-2.94
Dy: 0.3515 0.4231 0.1278  7 S 2.65-2.88
S: 0.0964 0.3035 0.8397  3 Dy 2.65-2.74
S: 0.7614 0.8394 0.9138  1 Si 2.36

This record from Alexandria via LeMat-Bulk describes Dy4Si3S12 after structural relaxation. The functional is PBEsol.

Calculated values
Total moment: 0.00 μB/f.u.
Total energy: -0.2268 Ha/atom
Energy relative to the elements, uncorrected: -1448 meV/atom

Cell: 9.7352 10.8409 16.1823 Å, 90.00 103.02 90.00°
Closest atoms and distances in Å follow each position.
Element x y z (fractional)
S: 0.8435 0.4389 0.5269  1 Si 2.07
S: 0.3516 0.7658 0.3731  1 Si 2.09
S: 0.0781 0.3472 0.3143  1 Si 2.14
S: 0.7545 0.2873 0.3666  1 Si 2.10
S: 0.9610 0.4351 0.9071  1 Si 2.15
S: 0.6502 0.4773 0.7700  1 Si 2.14
Dy: 0.6093 0.0169 0.1254  8 S 2.74-3.07
S: 0.0892 0.8452 0.0529  1 Si 2.08
Dy: 0.1250 0.6515 0.9409  8 S 2.77-2.93
S: 0.6527 0.6631 0.3137  1 Si 2.15
S: 0.9108 0.1548 0.9471  1 Si 2.08
S: 0.6640 0.5254 0.9779  1 Si 2.12
S: 0.1098 0.2586 0.5154  1 Si 2.13
S: 0.2579 0.0388 0.6878  1 Si 2.14
Si: 0.8013 0.6173 0.5600  4 S 2.07-2.14
Dy: 0.0304 0.8745 0.6316  7 S 2.73-2.95
Si: 0.2206 0.4458 0.1172  4 S 2.09-2.15
S: 0.4994 0.2239 0.1882  1 Si 2.11
S: 0.6098 0.2414 0.0154  1 Si 2.13
S: 0.3435 0.0611 0.0269  1 Si 2.07
Si: 0.2917 0.7148 0.7667  4 S 2.10-2.15
S: 0.2455 0.7127 0.6334  1 Si 2.10
Dy: 0.8750 0.3485 0.0591  8 S 2.77-2.93
Si: 0.2794 0.9458 0.3828  4 S 2.09-2.15
S: 0.9219 0.6528 0.6857  1 Si 2.14
S: 0.1565 0.5611 0.4731  1 Si 2.07
S: 0.3498 0.5227 0.2300  1 Si 2.14
S: 0.3360 0.4746 0.0221  1 Si 2.12
Dy: 0.9696 0.1255 0.3684  7 S 2.73-2.95
S: 0.7455 0.7873 0.1334  1 Si 2.10
Si: 0.7206 0.0542 0.6172  4 S 2.09-2.15
Dy: 0.6800 0.7626 0.7098  6 S 2.66-2.83
Dy: 0.3200 0.2374 0.2902  6 S 2.66-2.83
S: 0.0390 0.5649 0.0929  1 Si 2.15
S: 0.4108 0.3452 0.4471  1 Si 2.08
S: 0.1640 0.9746 0.4779  1 Si 2.12
Si: 0.7917 0.7852 0.2667  4 S 2.10-2.15
Dy: 0.3750 0.1515 0.5591  8 S 2.77-2.93
Dy: 0.8200 0.2626 0.7902  6 S 2.66-2.83
S: 0.8360 0.0254 0.5221  1 Si 2.12
Si: 0.6987 0.1173 0.9400  4 S 2.07-2.14
S: 0.9994 0.2761 0.6882  1 Si 2.11
S: 0.3902 0.7586 0.9846  1 Si 2.13
S: 0.1484 0.2658 0.1269  1 Si 2.09
S: 0.4219 0.8472 0.1857  1 Si 2.14
S: 0.6484 0.2342 0.6269  1 Si 2.09
S: 0.1502 0.0227 0.2700  1 Si 2.14
Dy: 0.1093 0.4831 0.6254  8 S 2.74-3.07
Si: 0.2083 0.2148 0.7333  4 S 2.10-2.15
S: 0.5781 0.1528 0.8143  1 Si 2.14
S: 0.5892 0.6548 0.5529  1 Si 2.08
S: 0.8473 0.1631 0.1863  1 Si 2.15
S: 0.2421 0.5388 0.8122  1 Si 2.14
S: 0.7421 0.9612 0.3122  1 Si 2.14
S: 0.4610 0.0649 0.4071  1 Si 2.15
Dy: 0.5304 0.6255 0.1316  7 S 2.73-2.95
S: 0.2545 0.2127 0.8666  1 Si 2.10
Si: 0.1987 0.3827 0.4400  4 S 2.07-2.14
Si: 0.7083 0.2852 0.2333  4 S 2.10-2.15
S: 0.5006 0.7761 0.8118  1 Si 2.11
S: 0.6565 0.9389 0.9731  1 Si 2.07
Si: 0.3013 0.8827 0.0600  4 S 2.07-2.14
Dy: 0.1800 0.7374 0.2098  6 S 2.66-2.83
S: 0.8902 0.7414 0.4846  1 Si 2.13
S: 0.1527 0.8369 0.8137  1 Si 2.15
S: 0.8516 0.7342 0.8731  1 Si 2.09
Dy: 0.3907 0.9831 0.8746  8 S 2.74-3.07
Dy: 0.6250 0.8485 0.4409  8 S 2.77-2.93
S: 0.0006 0.7239 0.3118  1 Si 2.11
S: 0.5390 0.9351 0.5929  1 Si 2.15
S: 0.3473 0.3369 0.6863  1 Si 2.15
S: 0.7579 0.4612 0.1878  1 Si 2.14
S: 0.8498 0.9773 0.7300  1 Si 2.14
Dy: 0.4696 0.3745 0.8684  7 S 2.73-2.95
Si: 0.7794 0.5542 0.8828  4 S 2.09-2.15
Dy: 0.8907 0.5169 0.3746  8 S 2.74-3.07

Look up the total energy of the second one. -0.2497 Ha/atom